Material: Pr2Sm2BBr2Cl3
Method: DFT, PBE
State: relaxed

Geometry as POSCAR:
```
Pr2Sm2BBr2Cl3
1.0
9.186 -2.003 0.000
9.186 2.003 0.000
-1.891 0.000 8.042
Cl Br Pr Sm B
3 2 2 2 1
Direct
0.838 0.838 0.677
0.162 0.162 0.323
0.500 0.500 0.500
0.827 0.827 0.167
0.173 0.173 0.833
0.000 0.000 0.223
0.000 0.000 0.777
0.644 0.644 0.080
0.356 0.356 0.920
0.500 0.500 0.000
```

Material: Pr2Y2BBr3Cl2
Method: DFT, PBE
State: relaxed

Geometry as POSCAR:
```
Pr2Y2BBr3Cl2
1.0
9.024 -1.992 0.000
9.024 1.992 0.000
-1.924 0.000 8.387
Y Br Pr B Cl
2 3 2 1 2
Direct
0.357 0.357 0.927
0.643 0.643 0.073
0.825 0.825 0.154
0.500 0.500 0.500
0.175 0.175 0.846
0.999 0.999 0.786
0.001 0.001 0.214
0.500 0.500 0.000
0.166 0.166 0.298
0.834 0.834 0.702
```

Material: Sm4BBrCl4
Method: DFT, PBE
State: relaxed

Geometry as POSCAR:
```
Sm4BBrCl4
1.0
8.829 -1.978 0.000
8.829 1.978 0.000
-2.087 0.000 8.079
B Cl Br Sm
1 4 1 4
Direct
0.500 0.500 0.500
0.829 0.829 0.645
0.835 0.835 0.173
0.165 0.165 0.827
0.171 0.171 0.355
0.500 0.500 0.000
0.649 0.649 0.586
0.001 0.001 0.288
0.351 0.351 0.414
0.999 0.999 0.712
```

Material: Sm4BBr2Cl3
Method: DFT, PBE
State: relaxed

Geometry as POSCAR:
```
Sm4BBr2Cl3
1.0
9.096 -1.973 0.000
9.096 1.973 0.000
-1.922 0.000 7.859
Cl Sm B Br
3 4 1 2
Direct
0.839 0.839 0.666
0.161 0.161 0.334
0.500 0.500 0.500
0.000 0.000 0.220
0.355 0.355 0.915
0.000 0.000 0.780
0.645 0.645 0.085
0.500 0.500 0.000
0.829 0.829 0.171
0.171 0.171 0.829
```

Material: Sm4BBr3Cl2
Method: DFT, PBE
State: relaxed

Geometry as POSCAR:
```
Sm4BBr3Cl2
1.0
9.106 -1.993 0.000
9.106 1.993 0.000
-1.919 0.000 8.091
B Sm Br Cl
1 4 3 2
Direct
0.500 0.500 0.000
0.000 0.000 0.213
0.355 0.355 0.919
0.645 0.645 0.081
0.000 0.000 0.787
0.829 0.829 0.169
0.171 0.171 0.831
0.500 0.500 0.500
0.160 0.160 0.323
0.840 0.840 0.677
```

Material: Sm2Y2BBrCl4
Method: DFT, PBE
State: relaxed

Geometry as POSCAR:
```
Sm2Y2BBrCl4
1.0
-4.842 -6.008 4.609
-4.585 -7.655 1.081
7.733 -2.061 1.524
Cl Y B Br Sm
4 2 1 1 2
Direct
0.168 0.168 0.345
0.832 0.832 0.655
0.837 0.837 0.163
0.163 0.163 0.837
0.000 0.000 0.709
0.000 0.000 0.291
0.500 0.500 0.500
0.500 0.500 0.000
0.350 0.350 0.413
0.650 0.650 0.587
```

DFT total energy list, top to bottom, in eV per atom: -5.011, -5.299, -5.079, -5.007, -4.943, -5.434